[1]
Density functional theory data (SCAN) for a crystal of LaSc2Tl relaxed with PBEsol.

abc: 3.366 3.366 10.923
angles: 81.14 81.14 60.00
Each line ends with the local moment (μB).
Element x y z (fractional)
Sc1 0.006 0.006 0.983  0.46
La1 0.249 0.249 0.252  -0.05
Tl1 0.494 0.494 0.517  0.00
Sc2 0.751 0.751 0.748  0.31

Results
* relative energy among the computed polymorphs: 163.4 meV/atom



[2]
Density functional theory data (SCAN) for a crystal of LaSc2Tl relaxed with PBEsol.

abc: 3.660 5.132 6.239
angles: 114.29 107.06 90.00
Element x y z (fractional)
Sc1 0.761 0.261 0.523
Sc2 0.006 0.006 0.011
Tl1 0.488 0.488 0.975
La1 0.245 0.745 0.491

Results
* relative energy among the computed polymorphs: 58.3 meV/atom



[3]
Density functional theory data (SCAN) for a crystal of La2ScTl relaxed with PBEsol.

abc: 5.481 5.481 5.481
angles: 60.00 60.00 60.00
Each line ends with the local moment (μB).
Element x y z (fractional)
Sc1 0.000 0.000 0.000  0.49
La1 0.750 0.750 0.750  0.19
Tl1 0.500 0.500 0.500  -0.03
La2 0.250 0.250 0.250  0.19

Results
* relative energy among the computed polymorphs: 123.6 meV/atom



[4]
Density functional theory data (SCAN) for a crystal of LaSc2Tl relaxed with PBEsol.

abc: 5.121 5.121 5.121
angles: 60.00 60.00 60.00
Each line ends with the local moment (μB).
Element x y z (fractional)
Sc1 0.250 0.250 0.250  0.63
Tl1 0.500 0.500 0.500  -0.01
Sc2 0.750 0.750 0.750  0.63
La1 0.000 0.000 0.000  0.72

Results
* relative energy among the computed polymorphs: 70.6 meV/atom



[5]
Density functional theory data (SCAN) for a crystal of La2ScTl relaxed with PBEsol.

abc: 4.704 4.704 6.025
angles: 112.98 112.98 90.00
Element x y z (fractional)
La1 0.750 0.250 0.500
Tl1 0.000 0.000 0.000
Sc1 0.500 0.500 0.000
La2 0.250 0.750 0.500

Results
* relative energy among the computed polymorphs: 0.0 meV/atom



[6]
Density functional theory data (SCAN) for a crystal of La2ScTl relaxed with PBEsol.

abc: 3.567 5.131 6.671
angles: 90.00 105.55 90.00
Each line ends with the local moment (μB).
Element x y z (fractional)
Sc1 0.309 0.000 0.492  0.09
La1 0.716 0.500 0.307  0.02
La2 0.036 0.000 0.946  0.03
Tl1 0.440 0.500 0.755  0.00

Results
* relative energy among the computed polymorphs: 0.7 meV/atom



[7]
Density functional theory data (SCAN) for a crystal of La2ScTl relaxed with PBEsol.

abc: 3.503 5.879 5.879
angles: 110.89 90.00 90.00
Element x y z (fractional)
Sc1 0.500 0.000 0.000
Tl1 0.500 0.500 0.500
La1 0.000 0.000 0.500
La2 0.000 0.500 0.000

Results
* relative energy among the computed polymorphs: 52.5 meV/atom



[8]
Density functional theory data (SCAN) for a crystal of LaSc2Tl relaxed with PBEsol.

abc: 3.472 3.472 8.313
angles: 90.00 90.00 90.00
Element x y z (fractional)
Sc1 0.000 0.000 0.221
La1 0.500 0.500 0.500
Tl1 0.500 0.500 0.000
Sc2 0.000 0.000 0.779

Results
* relative energy among the computed polymorphs: 24.0 meV/atom



[9]
Density functional theory data (SCAN) for a crystal of LaSc2Tl relaxed with PBEsol.

abc: 3.447 4.540 6.598
angles: 90.00 90.01 90.00
Each line ends with the local moment (μB).
Element x y z (fractional)
Sc1 0.000 0.000 0.023  -0.08
La1 0.500 0.500 0.749  -0.17
Sc2 0.500 0.500 0.251  -0.10
Tl1 0.000 0.000 0.477  0.00

Results
* relative energy among the computed polymorphs: 20.5 meV/atom



[10]
Density functional theory data (SCAN) for a crystal of LaSc2Tl relaxed with PBEsol.

abc: 3.282 5.998 6.174
angles: 117.35 102.58 95.67
Element x y z (fractional)
La1 0.000 0.500 0.000
Tl1 0.500 0.000 0.000
Sc1 0.500 0.500 0.500
Sc2 0.000 0.000 0.500

Results
* relative energy among the computed polymorphs: 151.7 meV/atom



[11]
Density functional theory data (SCAN) for a crystal of La2ScTl relaxed with PBEsol.

abc: 3.744 4.593 6.758
angles: 90.00 90.00 90.00
Element x y z (fractional)
La1 0.000 0.000 0.256
Sc1 0.500 0.500 0.000
La2 0.000 0.000 0.744
Tl1 0.500 0.500 0.500

Results
* relative energy among the computed polymorphs: 28.2 meV/atom



[12]
Density functional theory data (SCAN) for a crystal of La2ScTl relaxed with PBEsol.

abc: 3.688 5.621 5.621
angles: 90.00 90.00 90.00
Each line ends with the local moment (μB).
Element x y z (fractional)
La1 0.000 0.500 0.000  0.09
Sc1 0.500 0.500 0.500  0.15
La2 0.000 0.000 0.500  0.09
Tl1 0.500 0.000 0.000  0.00

Results
* relative energy among the computed polymorphs: 79.3 meV/atom



[13]
Density functional theory data (SCAN) for a crystal of LaScW3 relaxed with PBEsol.

abc: 4.800 4.800 4.800
angles: 90.00 90.00 90.00
Element x y z (fractional)
Sc1 0.500 0.500 0.500
La1 0.000 0.000 0.000
W1 0.500 0.000 0.000
W2 0.000 0.000 0.500
W3 0.000 0.500 0.000



[14]
Density functional theory data (SCAN) for a crystal of LaScW relaxed with PBEsol.

abc: 2.931 4.831 5.326
angles: 116.97 105.97 90.00
Element x y z (fractional)
W1 0.325 0.325 0.650
La1 0.997 0.997 0.995
Sc1 0.678 0.678 0.356



[15]
Density functional theory data (SCAN) for a crystal of LaY2Sc2 relaxed with PBEsol.

abc: 3.569 9.010 9.010
angles: 90.00 90.00 90.00
Element x y z (fractional)
Y1 0.000 0.373 0.873
Y2 0.000 0.873 0.627
Y3 0.000 0.127 0.373
Sc1 0.500 0.331 0.169
Sc2 0.500 0.669 0.831
Sc3 0.500 0.831 0.331
La1 0.000 0.500 0.500
Y4 0.000 0.627 0.127
Sc4 0.500 0.169 0.669
La2 0.000 0.000 0.000



[16]
Density functional theory data (SCAN) for a crystal of La2ScZn relaxed with PBEsol.

abc: 3.501 4.951 6.445
angles: 90.00 105.76 90.00
Element x y z (fractional)
La1 0.961 0.000 0.923
Sc1 0.682 0.000 0.363
Zn1 0.559 0.500 0.119
La2 0.279 0.500 0.559



[17]
Density functional theory data (SCAN) for a crystal of LaScZn2 relaxed with PBEsol.

abc: 4.975 4.975 4.975
angles: 60.00 60.00 60.00
Element x y z (fractional)
Zn1 0.250 0.250 0.250
La1 0.500 0.500 0.500
Sc1 0.000 0.000 0.000
Zn2 0.750 0.750 0.750

Results
* relative energy among the computed polymorphs: 53.3 meV/atom



[18]
Density functional theory data (SCAN) for a crystal of LaSc2Zn relaxed with PBEsol.

abc: 3.544 5.024 5.254
angles: 90.00 90.00 90.00
Each line ends with the local moment (μB).
Element x y z (fractional)
Sc1 0.000 0.000 0.000  0.07
La1 0.000 0.500 0.500  0.13
Sc2 0.500 0.000 0.500  0.23
Zn1 0.500 0.500 0.000  0.00



[19]
Density functional theory data (SCAN) for a crystal of La2ScZn relaxed with PBEsol.

abc: 3.543 3.543 10.409
angles: 80.20 80.20 60.00
Element x y z (fractional)
La1 0.256 0.256 0.233
La2 0.744 0.744 0.767
Zn1 0.000 0.000 0.000
Sc1 0.500 0.500 0.500



[20]
Density functional theory data (SCAN) for a crystal of LaSc2Zn relaxed with PBEsol.

abc: 4.505 4.505 4.590
angles: 90.00 90.00 90.00
Each line ends with the local moment (μB).
Element x y z (fractional)
La1 0.000 0.000 0.500  0.18
Sc1 0.000 0.500 0.000  0.28
Sc2 0.500 0.000 0.000  0.28
Zn1 0.500 0.500 0.500  -0.01



[21]
Density functional theory data (SCAN) for a crystal of LaSc2Zn relaxed with PBEsol.

abc: 3.476 4.945 6.234
angles: 113.37 106.19 90.00
Element x y z (fractional)
Sc1 0.791 0.791 0.581
Sc2 0.007 0.507 0.014
La1 0.220 0.220 0.441
Zn1 0.482 0.982 0.964



[22]
Density functional theory data (SCAN) for a crystal of LaScZn4 relaxed with PBEsol.

abc: 5.359 5.359 5.359
angles: 60.00 60.00 60.00
Element x y z (fractional)
Zn1 0.374 0.878 0.374
La1 0.750 0.750 0.750
Zn2 0.374 0.374 0.878
Zn3 0.878 0.374 0.374
Zn4 0.374 0.374 0.374
Sc1 0.000 0.000 0.000



[23]
Density functional theory data (SCAN) for a crystal of LaScZn2 relaxed with PBEsol.

abc: 3.432 3.432 7.195
angles: 90.00 90.00 90.00
Element x y z (fractional)
Zn1 0.000 0.000 0.297
Sc1 0.500 0.500 0.500
Zn2 0.000 0.000 0.703
La1 0.500 0.500 0.000

Results
* relative energy among the computed polymorphs: 0.0 meV/atom



[24]
Density functional theory data (SCAN) for a crystal of La2ScZn relaxed with PBEsol.

abc: 3.612 5.359 6.351
angles: 114.96 106.52 90.00
Element x y z (fractional)
Sc1 0.461 0.961 0.921
La1 0.029 0.529 0.057
Zn1 0.768 0.768 0.536
La2 0.243 0.243 0.485



[25]
Density functional theory data (SCAN) for a crystal of LaSc2Zn relaxed with PBEsol.

abc: 3.367 3.367 8.168
angles: 90.00 90.00 90.00
Element x y z (fractional)
Sc1 0.000 0.000 0.195
La1 0.500 0.500 0.500
Zn1 0.500 0.500 0.000
Sc2 0.000 0.000 0.805



[26]
Density functional theory data (SCAN) for a crystal of LaSc2Zn relaxed with PBEsol.

abc: 3.420 3.420 8.188
angles: 90.00 90.00 90.00
Each line ends with the local moment (μB).
Element x y z (fractional)
Sc1 0.500 0.500 0.285  0.29
La1 0.500 0.500 0.720  -0.01
Zn1 0.000 0.000 0.461  -0.01
Sc2 0.000 0.000 0.035  0.38



[27]
Density functional theory data (SCAN) for a crystal of La2ScZn relaxed with PBEsol.

abc: 3.535 3.535 8.290
angles: 90.00 90.00 90.00
Element x y z (fractional)
La1 0.500 0.500 0.273
La2 0.000 0.000 0.961
Sc1 0.000 0.000 0.552
Zn1 0.500 0.500 0.715



[28]
Density functional theory data (SCAN) for a crystal of LaSc2Zn relaxed with PBEsol.

abc: 3.446 5.270 6.115
angles: 115.53 106.37 90.00
Element x y z (fractional)
Sc1 0.785 0.785 0.570
Zn1 0.500 0.000 0.000
La1 0.000 0.500 0.000
Sc2 0.215 0.215 0.430



[29]
Density functional theory data (SCAN) for a crystal of LaZr4Sc relaxed with PBEsol.

abc: 5.929 5.929 5.929
angles: 60.00 60.00 60.00
Each line ends with the local moment (μB).
Element x y z (fractional)
Zr1 0.374 0.374 0.374  0.52
Zr2 0.374 0.374 0.877  0.52
La1 0.750 0.750 0.750  0.28
Sc1 0.000 0.000 0.000  0.30
Zr3 0.877 0.374 0.374  0.52
Zr4 0.374 0.877 0.374  0.52



[30]
Density functional theory data (SCAN) for a crystal of La2ZrSc relaxed with PBEsol.

abc: 3.265 5.889 6.515
angles: 116.36 103.66 91.82
Element x y z (fractional)
Sc1 0.500 0.000 0.000
La1 0.500 0.500 0.500
Zr1 0.000 0.500 0.000
La2 0.000 0.000 0.500



no.,magnetization (μB/f.u.),energy of formation (meV per atom),DFT total energy (eV/atom)
1,1.2,-94,-36.078
2,0.0,-199,-36.183
3,1.5,-184,-43.385
4,3.2,-186,-36.171
5,0.0,-307,-43.509
6,0.3,-306,-43.508
7,0.1,-255,-43.456
8,0.0,-233,-36.217
9,0.6,-237,-36.221
10,0.0,-105,-36.090
11,0.1,-279,-43.480
12,0.6,-228,-43.429
13,0.0,2605,-50.676
14,0.0,636,-41.707
15,0.0,94,-25.359
16,0.0,-98,-28.588
17,0.0,-346,-21.439
18,0.6,-26,-21.300
19,0.0,44,-28.447
20,1.1,-32,-21.305
21,0.0,-108,-21.382
22,0.0,-372,-18.939
23,0.0,-399,-21.492
24,0.0,-177,-28.668
25,0.0,-184,-21.458
26,1.0,-164,-21.438
27,0.0,-169,-28.660
28,0.1,-156,-21.430
29,4.5,283,-29.740
30,0.0,249,-32.537